KBe2As after structural relaxation, computed with PBE.

Cell: 2.934 3.897 7.159 Å, 90.00 90.29 90.00°
Space group P2/m (No. 10)
Symmetry-distinct sites (fractional):
K 0.000 0.000 0.000 (multiplicity 1)
Be 0.499 0.500 0.662 (multiplicity 2)
As 0.500 0.000 0.500 (multiplicity 1)

Its crystal system is monoclinic. The calculation puts the calculated formation energy at 0.57 eV/atom. The raw total energy is -2.7345 eV/atom. Its volume is 82 Å³ per cell.